# AcTiTlS4 | Alexandria | PBE | relaxed
data_AcTiTlS4
_symmetry_space_group_name_H-M 'P 1 21/m 1'
_symmetry_Int_Tables_number 11
_cell_length_a 7.099
_cell_length_b 6.724
_cell_length_c 8.895
_cell_angle_alpha 90.00
_cell_angle_beta 106.86
_cell_angle_gamma 90.00
loop_
_symmetry_equiv_pos_as_xyz
'x,y,z'
'-x,-y,-z'
'-x,y+1/2,-z'
'x,-y+1/2,z'
loop_
_atom_site_label
_atom_site_fract_x
_atom_site_fract_y
_atom_site_fract_z
Ac1 0.234 0.250 0.057
Ti1 0.217 0.750 0.811
Tl1 0.289 0.250 0.571
S1 0.004 0.007 0.777
S2 0.403 0.750 0.065
S3 0.418 0.750 0.655
# Energy relative to the elements, uncorrected, eV per atom: -1.4186
# Crystal system: monoclinic
# E, eV/atom: -5.830

# Y6ErIn5 | Alexandria | PBE | relaxed
data_Y6ErIn5
_symmetry_space_group_name_H-M 'I m m m'
_symmetry_Int_Tables_number 71
_symmetry_space_group_name_Hall '-I 2 2'
_cell_length_a 4.984
_cell_length_b 8.778
_cell_length_c 15.083
_cell_angle_alpha 90.00
_cell_angle_beta 90.00
_cell_angle_gamma 90.00
loop_
_atom_site_label
_atom_site_fract_x
_atom_site_fract_y
_atom_site_fract_z
Y1 0.000 0.228 0.000
Y2 0.000 0.263 0.330
Er1 0.000 0.000 0.500
In1 0.000 0.000 0.176
In2 0.000 0.500 0.150
In3 0.000 0.500 0.500
# Crystal system: orthorhombic
# E, eV/atom: -5.164
# Formation enthalpy at 0 K, eV per formula unit: -4.93

# FeCoNi4 | Alexandria | PBE | relaxed
data_FeCoNi4
_symmetry_space_group_name_H-M 'C 1 2/c 1'
_symmetry_Int_Tables_number 15
_cell_length_a 4.904
_cell_length_b 13.552
_cell_length_c 4.122
_cell_angle_alpha 90.00
_cell_angle_beta 90.10
_cell_angle_gamma 90.00
loop_
_symmetry_equiv_pos_as_xyz
'x,y,z'
'-x,-y,-z'
'-x,y,-z+1/2'
'x,-y,z+1/2'
'x+1/2,y+1/2,z'
'-x+1/2,-y+1/2,-z'
'-x+1/2,y+1/2,-z+1/2'
'x+1/2,-y+1/2,z+1/2'
loop_
_atom_site_label
_atom_site_fract_x
_atom_site_fract_y
_atom_site_fract_z
Fe1 0.000 0.200 0.250
Co1 0.000 0.302 0.750
Ni1 0.250 0.041 0.236
Ni2 0.250 0.140 0.743
# Crystal system: monoclinic
# Relative energy among the computed polymorphs, meV per atom: 153
# E, eV/atom: -6.336
# Formation enthalpy at 0 K, eV per formula unit: 0.68

# Sm4DyTh2 | Alexandria | PBE | relaxed
data_Sm4DyTh2
_symmetry_space_group_name_H-M 'P 1 2/m 1'
_symmetry_Int_Tables_number 10
_cell_length_a 5.839
_cell_length_b 5.735
_cell_length_c 7.332
_cell_angle_alpha 90.00
_cell_angle_beta 100.46
_cell_angle_gamma 90.00
loop_
_symmetry_equiv_pos_as_xyz
'x,y,z'
'-x,-y,-z'
'-x,y,-z'
'x,-y,z'
loop_
_atom_site_label
_atom_site_fract_x
_atom_site_fract_y
_atom_site_fract_z
Sm1 0.000 0.000 0.229
Sm2 0.329 0.500 0.166
Dy1 0.500 0.000 0.500
Th1 0.000 0.500 0.500
Th2 0.500 0.000 0.000
# Crystal system: monoclinic
# Relative energy among the computed polymorphs, meV per atom: 328
# E, eV/atom: -5.115
# Formation enthalpy at 0 K, eV per formula unit: 2.52

# NaCa2Hg8 | Alexandria | PBE | relaxed
data_NaCa2Hg8
_symmetry_space_group_name_H-M 'C 1 2/m 1'
_symmetry_Int_Tables_number 12
_cell_length_a 8.536
_cell_length_b 16.395
_cell_length_c 5.334
_cell_angle_alpha 90.00
_cell_angle_beta 127.62
_cell_angle_gamma 90.00
loop_
_symmetry_equiv_pos_as_xyz
'x,y,z'
'-x,-y,-z'
'-x,y,-z'
'x,-y,z'
'x+1/2,y+1/2,z'
'-x+1/2,-y+1/2,-z'
'-x+1/2,y+1/2,-z'
'x+1/2,-y+1/2,z'
loop_
_atom_site_label
_atom_site_fract_x
_atom_site_fract_y
_atom_site_fract_z
Na1 0.000 0.000 0.000
Ca1 0.000 0.318 0.500
Hg1 0.000 0.195 0.000
Hg2 0.093 0.500 0.345
Hg3 0.229 0.142 0.736
# Crystal system: monoclinic
# Relative energy among the computed polymorphs, meV per atom: 10
# E, eV/atom: -1.004
# Formation enthalpy at 0 K, eV per formula unit: -3.30

# BaTeW2 | Alexandria | PBE | relaxed
data_BaTeW2
_symmetry_space_group_name_H-M 'P 1 2/m 1'
_symmetry_Int_Tables_number 10
_cell_length_a 3.072
_cell_length_b 5.350
_cell_length_c 6.137
_cell_angle_alpha 90.00
_cell_angle_beta 90.63
_cell_angle_gamma 90.00
loop_
_symmetry_equiv_pos_as_xyz
'x,y,z'
'-x,-y,-z'
'-x,y,-z'
'x,-y,z'
loop_
_atom_site_label
_atom_site_fract_x
_atom_site_fract_y
_atom_site_fract_z
Ba1 0.000 0.000 0.000
Te1 0.500 0.000 0.500
W1 0.366 0.500 0.319
# Energy relative to the elements, uncorrected, eV per atom: 1.0780
# Crystal system: monoclinic
# E, eV/atom: -6.665

# CaB2H8O8 | Alexandria | PBE | relaxed
data_CaB2H8O8
_symmetry_space_group_name_H-M 'P -1'
_symmetry_Int_Tables_number 2
_cell_length_a 5.673
_cell_length_b 7.734
_cell_length_c 8.094
_cell_angle_alpha 65.20
_cell_angle_beta 74.08
_cell_angle_gamma 71.62
loop_
_symmetry_equiv_pos_as_xyz
'x,y,z'
'-x,-y,-z'
loop_
_atom_site_label
_atom_site_fract_x
_atom_site_fract_y
_atom_site_fract_z
Ca1 0.148 0.231 0.332
B1 0.184 0.964 0.733
B2 0.412 0.428 0.782
H1 0.095 0.718 0.940
H2 0.123 0.805 0.279
H3 0.144 0.356 0.708
H4 0.336 0.464 0.452
H5 0.377 0.790 0.577
H6 0.415 0.841 0.055
H7 0.448 0.398 0.031
H8 0.455 0.045 0.795
O1 0.005 0.850 0.872
O2 0.061 0.175 0.669
O3 0.202 0.475 0.682
O4 0.241 0.912 0.563
O5 0.311 0.460 0.958
O6 0.416 0.434 0.338
O7 0.421 0.923 0.801
O8 0.441 0.777 0.186
# Crystal system: triclinic
# E, eV/atom: -5.956

# InHg5 | Alexandria | PBE | relaxed
data_InHg5
_symmetry_space_group_name_H-M 'P 6/m m m'
_symmetry_Int_Tables_number 191
_symmetry_space_group_name_Hall '-P 6 2'
_cell_length_a 6.0755
_cell_length_b 6.0755
_cell_length_c 5.5860
_cell_angle_alpha 90.00
_cell_angle_beta 90.00
_cell_angle_gamma 120.00
loop_
_atom_site_label
_atom_site_fract_x
_atom_site_fract_y
_atom_site_fract_z
In1 0.0000 0.0000 0.0000
Hg1 0.0000 0.5000 0.5000
Hg2 0.3333 0.6667 0.0000
# Crystal system: hexagonal
# Relative energy among the computed polymorphs, meV per atom: 99
# E, eV/atom: -0.612
# Formation enthalpy at 0 K, eV per formula unit: 0.58